PrDy2In3 | PBE-GGA | relaxed

POSCAR file:
```
PrDy2In3
1.0
6.309 0.000 0.000
0.000 10.448 0.000
-3.155 -5.224 5.496
Pr Dy In
2 4 6
Cartesian
1.579 0.000 2.748 Pr
1.575 5.224 2.748 Pr
-1.578 5.224 4.573 Dy
-1.576 0.000 4.573 Dy
4.731 5.224 0.924 Dy
4.733 0.000 0.924 Dy
0.000 7.835 0.000 In
0.000 2.613 0.000 In
3.155 7.837 0.000 In
-1.577 -2.612 2.748 In
-1.577 2.612 2.748 In
3.155 2.611 0.000 In
```

## Properties
ΔH_f (0 K) = -0.26 eV per atom
Energy above the most stable polymorph in this dataset = 218 meV per atom
Crystal system = orthorhombic
ρ = 7.43 g/cm³
Fermi-level density of states = 4.73 states/eV/f.u.